Entry 1:
Entry from OQMD via LeMat-Bulk: a geometry-optimized Pr2NdNi8Pt structure (PBE-GGA).

Cell and atoms, written as POSCAR:
```
Pr2NdNi8Pt
1.0
-7.3902 3.7690 3.1744
-6.4983 -0.3156 6.0474
-3.9431 3.9850 6.8898
Nd Ni Pt Pr
1 8 1 2
Direct
0.0000 0.0000 0.0000 Nd
0.3329 0.3329 0.3329 Ni
0.0757 0.5796 0.5796 Ni
0.4204 0.4204 0.9243 Ni
0.5796 0.5796 0.0757 Ni
0.5796 0.0757 0.5796 Ni
0.4204 0.9243 0.4204 Ni
0.9243 0.4204 0.4204 Ni
0.6671 0.6671 0.6671 Ni
0.5000 0.5000 0.5000 Pt
0.8631 0.8631 0.8631 Pr
0.1369 0.1369 0.1369 Pr
```

Results
ρ in g cm⁻³: 9.69
Energy of formation in meV/atom: -399.1
Total magnetic moment in μB per atom: 0.06
Final energy in eV/atom: -5.808



Entry 2:
Entry from OQMD via LeMat-Bulk: a geometry-optimized ThZr structure (PBE-GGA).

Cell and atoms, written as POSCAR:
```
ThZr
1.0
-6.4547 -3.6835 -4.9048
5.2231 -3.9158 -1.7993
-1.1892 -3.5201 4.2086
Zr Th
6 6
Direct
0.0095 0.0076 0.0000 Zr
0.2127 0.0480 0.5000 Zr
0.0026 0.4862 0.0000 Zr
0.3008 0.8209 0.0000 Zr
0.9214 0.2346 0.5000 Zr
0.2196 0.5693 0.5000 Zr
0.6570 0.6657 0.0000 Th
0.5652 0.3899 0.5000 Th
0.6791 0.1596 0.0000 Th
0.8984 0.7334 0.5000 Th
0.3238 0.3221 0.0000 Th
0.5431 0.8960 0.5000 Th
```

Results
ρ in g cm⁻³: 9.66
Energy of formation in meV/atom: 117.1
Total magnetic moment in μB per atom: 0.00
Final energy in eV/atom: -7.863



Entry 3:
Entry from OQMD via LeMat-Bulk: a geometry-optimized Nd3Bi2Se structure (PBE-GGA).

Cell and atoms, written as POSCAR:
```
Nd3Bi2Se
1.0
4.4780 0.0000 0.0000
-2.2390 3.8781 0.0000
0.0000 0.0000 10.9729
Nd Bi Se
3 2 1
Direct
0.3333 0.6667 0.3501 Nd
0.6667 0.3333 0.6499 Nd
0.0000 0.0000 0.0000 Nd
0.6667 0.3333 0.1752 Bi
0.3333 0.6667 0.8248 Bi
0.0000 0.0000 0.5000 Se
```

Results
ρ in g cm⁻³: 8.10
Total magnetic moment in μB per atom: 0.00
Final energy in eV/atom: -5.555



Entry 4:
Entry from OQMD via LeMat-Bulk: a geometry-optimized AgPbSO structure (PBE-GGA).

Cell and atoms, written as POSCAR:
```
AgPbSO
1.0
-3.9179 1.1278 -4.9380
-1.3062 -7.5830 -0.6955
-5.2488 0.5114 4.2813
S O Ag Pb
4 4 4 4
Direct
0.0799 0.6230 0.1996 S
0.9201 0.3770 0.6996 S
0.5799 0.3770 0.1996 S
0.4201 0.6230 0.6996 S
0.1127 0.0740 0.0672 O
0.3873 0.0740 0.5672 O
0.8873 0.9260 0.5672 O
0.6127 0.9260 0.0672 O
0.9352 0.3546 0.0591 Ag
0.0648 0.6454 0.5591 Ag
0.5648 0.3546 0.5591 Ag
0.4352 0.6454 0.0591 Ag
0.5778 0.8606 0.4241 Pb
0.4222 0.1394 0.9241 Pb
0.0778 0.1394 0.4241 Pb
0.9222 0.8606 0.9241 Pb
```

Results
ρ in g cm⁻³: 7.18
Final energy in eV/atom: -4.285



Entry 5:
Entry from OQMD via LeMat-Bulk: a geometry-optimized Dy3NbS3O4 structure (PBE-GGA).

Cell and atoms, written as POSCAR:
```
Dy3NbS3O4
1.0
6.5545 0.0000 0.0000
0.0000 7.4805 0.0000
0.0000 0.0000 14.1669
Dy O S Nb
12 16 12 4
Direct
0.2768 0.2500 0.0808 Dy
0.7197 0.5053 0.1604 Dy
0.7803 0.4947 0.6604 Dy
0.2803 0.4947 0.8396 Dy
0.7768 0.2500 0.4192 Dy
0.7197 0.9947 0.1604 Dy
0.7232 0.7500 0.9192 Dy
0.2803 0.0053 0.8396 Dy
0.7803 0.0053 0.6604 Dy
0.2197 0.5053 0.3396 Dy
0.2197 0.9947 0.3396 Dy
0.2232 0.7500 0.5808 Dy
0.8779 0.9782 0.3759 O
0.3779 0.9782 0.1241 O
0.6344 0.7500 0.0717 O
0.1221 0.4782 0.6241 O
0.3656 0.2500 0.9283 O
0.1344 0.7500 0.4283 O
0.6221 0.4782 0.8759 O
0.3540 0.7500 0.9340 O
0.1221 0.0218 0.6241 O
0.8656 0.2500 0.5717 O
0.6221 0.0218 0.8759 O
0.8540 0.7500 0.5660 O
0.1460 0.2500 0.4340 O
0.8779 0.5218 0.3759 O
0.3779 0.5218 0.1241 O
0.6460 0.2500 0.0660 O
0.0000 0.0000 0.0000 S
0.4966 0.7500 0.7257 S
0.5000 0.5000 0.5000 S
0.0413 0.7500 0.2038 S
0.0000 0.5000 0.0000 S
0.5413 0.7500 0.2962 S
0.5034 0.2500 0.2743 S
0.9587 0.2500 0.7962 S
0.0034 0.2500 0.2257 S
0.5000 0.0000 0.5000 S
0.4587 0.2500 0.7038 S
0.9966 0.7500 0.7743 S
0.6917 0.2500 0.9292 Nb
0.1917 0.2500 0.5708 Nb
0.3083 0.7500 0.0708 Nb
0.8083 0.7500 0.4292 Nb
```

Results
ρ in g cm⁻³: 7.08
Total magnetic moment in μB per atom: 0.00
Final energy in eV/atom: -7.762



Entry 6:
Entry from OQMD via LeMat-Bulk: a geometry-optimized PmHfTl structure (PBE-GGA).

Cell and atoms, written as POSCAR:
```
PmHfTl
1.0
-1.2737 2.5464 4.1401
-4.5674 -0.5929 2.0086
-0.5268 -2.4170 4.3735
Tl Pm Hf
1 1 1
Direct
0.0000 0.0000 0.0000 Tl
0.7500 0.7500 0.7500 Pm
0.2500 0.2500 0.2500 Hf
```

Results
ρ in g cm⁻³: 9.77
Total magnetic moment in μB per atom: 0.07
Final energy in eV/atom: -5.314



Entry 7:
Entry from OQMD via LeMat-Bulk: a geometry-optimized LuBeAsOs structure (PBE-GGA).

Cell and atoms, written as POSCAR:
```
LuBeAsOs
1.0
-1.4247 -4.2457 -0.1407
-4.3048 -0.8910 -0.8664
-1.1622 -1.8445 -3.9144
As Lu Be Os
1 1 1 1
Direct
0.0000 0.0000 0.0000 As
0.5000 0.5000 0.5000 Lu
0.7500 0.7500 0.7500 Be
0.2500 0.2500 0.2500 Os
```

Results
ρ in g cm⁻³: 11.73
Total magnetic moment in μB per atom: 0.00
Final energy in eV/atom: -5.874



Entry 8:
Entry from OQMD via LeMat-Bulk: a geometry-optimized HgBTe structure (PBE-GGA).

Cell and atoms, written as POSCAR:
```
HgBTe
1.0
-0.4629 2.0085 4.0580
-3.5498 -1.0283 2.6565
0.6320 -2.4025 3.8137
B Hg Te
1 1 1
Direct
0.0000 0.0000 0.0000 B
0.2500 0.2500 0.2500 Hg
0.7500 0.7500 0.7500 Te
```

Results
ρ in g cm⁻³: 8.44
Final energy in eV/atom: -2.227



Entry 9:
Entry from OQMD via LeMat-Bulk: a geometry-optimized RbAgNO structure (PBE-GGA).

Cell and atoms, written as POSCAR:
```
RbAgNO
1.0
2.9343 -2.9343 0.0000
2.9343 2.9343 0.0000
0.0000 0.0000 9.8135
Rb O Ag N
2 2 2 2
Direct
0.7500 0.7500 0.8230 Rb
0.2500 0.2500 0.1770 Rb
0.7500 0.2500 0.0000 O
0.2500 0.7500 0.0000 O
0.7500 0.2500 0.5000 Ag
0.2500 0.7500 0.5000 Ag
0.7500 0.7500 0.4440 N
0.2500 0.2500 0.5560 N
```

Results
ρ in g cm⁻³: 4.39
Final energy in eV/atom: -3.532



Entry 10:
Entry from OQMD via LeMat-Bulk: a geometry-optimized TlCoNiAu structure (PBE-GGA).

Cell and atoms, written as POSCAR:
```
TlCoNiAu
1.0
0.0000 3.1379 3.1379
3.1379 0.0000 3.1379
3.1379 3.1379 0.0000
Tl Au Ni Co
1 1 1 1
Direct
0.0000 0.0000 0.0000 Tl
0.5000 0.5000 0.5000 Au
0.2500 0.2500 0.2500 Ni
0.7500 0.7500 0.7500 Co
```

Results
ρ in g cm⁻³: 13.95
Total magnetic moment in μB per atom: 0.29
Final energy in eV/atom: -4.273



Entry 11:
Entry from OQMD via LeMat-Bulk: a geometry-optimized YErFe2Br2 structure (PBE-GGA).

Cell and atoms, written as POSCAR:
```
YErFe2Br2
1.0
-2.8097 0.8434 2.5029
1.7625 -3.4260 0.1624
7.8727 4.3987 7.3558
Br Fe Y Er
2 2 1 1
Direct
0.6667 0.3333 0.6646 Br
0.3333 0.6667 0.3348 Br
0.6667 0.3333 0.0076 Fe
0.3333 0.6667 0.9940 Fe
0.0000 0.0000 0.8299 Y
0.0000 0.0000 0.1692 Er
```

Results
ρ in g cm⁻³: 5.85
Total magnetic moment in μB per atom: 0.32
Final energy in eV/atom: -6.108



Entry 12:
Entry from OQMD via LeMat-Bulk: a geometry-optimized LuMgGaNi structure (PBE-GGA).

Cell and atoms, written as POSCAR:
```
LuMgGaNi
1.0
-1.3693 -4.3597 -0.4781
-1.3281 -2.4076 3.6811
-4.4284 -1.0912 0.5561
Ga Mg Ni Lu
1 1 1 1
Direct
0.0000 0.0000 0.0000 Ga
0.2500 0.2500 0.2500 Mg
0.7500 0.7500 0.7500 Ni
0.5000 0.5000 0.5000 Lu
```

Results
ρ in g cm⁻³: 7.93
Total magnetic moment in μB per atom: 0.00
Final energy in eV/atom: -3.946



Entry 13:
Entry from OQMD via LeMat-Bulk: a geometry-optimized PaInHg structure (PBE-GGA).

Cell and atoms, written as POSCAR:
```
PaInHg
1.0
2.4973 -4.1949 1.3341
0.6851 -1.0884 4.8948
-2.4939 -3.8680 2.1053
Pa In Hg
1 1 1
Direct
0.0000 0.0000 0.0000 Pa
0.7500 0.7500 0.7500 In
0.2500 0.2500 0.2500 Hg
```

Results
ρ in g cm⁻³: 9.90
Total magnetic moment in μB per atom: 0.03
Final energy in eV/atom: -3.680



Entry 14:
Entry from OQMD via LeMat-Bulk: a geometry-optimized LiTmFeSe3 structure (PBE-GGA).

Cell and atoms, written as POSCAR:
```
LiTmFeSe3
1.0
10.6862 0.0000 0.0000
0.0000 3.9647 0.0000
0.0000 0.0000 12.7376
Li Fe Se Tm
4 4 12 4
Direct
0.8363 0.5000 0.9863 Li
0.3363 0.5000 0.5137 Li
0.6637 0.0000 0.4863 Li
0.1637 0.0000 0.0137 Li
0.7511 0.0000 0.2218 Fe
0.2489 0.5000 0.7782 Fe
0.7489 0.5000 0.7218 Fe
0.2511 0.0000 0.2782 Fe
0.4333 0.0000 0.3912 Se
0.0791 0.0000 0.3953 Se
0.5667 0.5000 0.6088 Se
0.2531 0.5000 0.1609 Se
0.5791 0.0000 0.1047 Se
0.9209 0.5000 0.6047 Se
0.2469 0.0000 0.6609 Se
0.7531 0.5000 0.3391 Se
0.9333 0.0000 0.1088 Se
0.7469 0.0000 0.8391 Se
0.4209 0.5000 0.8953 Se
0.0667 0.5000 0.8912 Se
0.4945 0.0000 0.7573 Tm
0.5055 0.5000 0.2427 Tm
0.9945 0.0000 0.7427 Tm
0.0055 0.5000 0.2573 Tm
```

Results
ρ in g cm⁻³: 5.77
Total magnetic moment in μB per atom: 0.67
Final energy in eV/atom: -5.264



Entry 15:
Entry from OQMD via LeMat-Bulk: a geometry-optimized DyPuSi structure (PBE-GGA).

Cell and atoms, written as POSCAR:
```
DyPuSi
1.0
-2.4895 -4.0920 -0.5767
-3.8114 -0.1086 -2.9557
0.2510 -2.4086 -4.1726
Dy Si Pu
1 1 1
Direct
0.2500 0.2500 0.2500 Dy
0.0000 0.0000 0.0000 Si
0.7500 0.7500 0.7500 Pu
```

Results
ρ in g cm⁻³: 9.09
Total magnetic moment in μB per atom: 2.07
Final energy in eV/atom: -8.326



Entry 16:
Entry from OQMD via LeMat-Bulk: a geometry-optimized Gd2DyGa3FeGe2 structure (PBE-GGA).

Cell and atoms, written as POSCAR:
```
Gd2DyGa3FeGe2
1.0
-2.3749 -2.9565 1.7285
5.0458 -1.3385 4.6432
-4.8887 4.7755 1.4512
Dy Gd Ge Fe Ga
1 2 2 1 3
Direct
0.0000 0.3984 0.3984 Dy
0.0000 0.9998 0.6003 Gd
0.0000 0.6003 0.9998 Gd
0.5000 0.6653 0.3341 Ge
0.5000 0.3341 0.6653 Ge
0.0000 0.0015 0.0015 Fe
0.5000 0.2267 0.0009 Ga
0.5000 0.0009 0.2267 Ga
0.5000 0.7732 0.7732 Ga
```

Results
ρ in g cm⁻³: 8.35
Total magnetic moment in μB per atom: 0.00
Final energy in eV/atom: -5.148



Entry 17:
Entry from OQMD via LeMat-Bulk: a geometry-optimized NbAl structure (PBE-GGA).

Cell and atoms, written as POSCAR:
```
NbAl
1.0
-4.3971 -0.9859 0.7597
-3.2764 2.5084 -1.9639
-2.5515 -1.7876 -3.3434
Al Nb
2 2
Direct
0.2500 0.2500 0.2500 Al
0.0000 0.0000 0.0000 Al
0.5000 0.5000 0.5000 Nb
0.7500 0.7500 0.7500 Nb
```

Results
ρ in g cm⁻³: 5.90
Total magnetic moment in μB per atom: 0.00
Final energy in eV/atom: -6.998



Entry 18:
Entry from OQMD via LeMat-Bulk: a geometry-optimized Hf3P2 structure (PBE-GGA).

Cell and atoms, written as POSCAR:
```
Hf3P2
1.0
10.1859 0.0000 0.0000
0.0000 3.5816 0.0000
0.0000 0.0000 9.8598
Hf P
12 8
Direct
0.2838 0.7500 0.2967 Hf
0.9541 0.7500 0.8737 Hf
0.2162 0.2500 0.7967 Hf
0.6245 0.7500 0.9353 Hf
0.0459 0.2500 0.1263 Hf
0.5459 0.2500 0.3737 Hf
0.8755 0.2500 0.4353 Hf
0.4541 0.7500 0.6263 Hf
0.3755 0.2500 0.0647 Hf
0.7838 0.7500 0.2033 Hf
0.1245 0.7500 0.5647 Hf
0.7162 0.2500 0.7033 Hf
0.6931 0.7500 0.5002 P
0.1931 0.7500 0.9998 P
0.8069 0.2500 0.0002 P
0.9728 0.2500 0.6792 P
0.3069 0.2500 0.4998 P
0.0272 0.7500 0.3208 P
0.5272 0.7500 0.1792 P
0.4728 0.2500 0.8208 P
```

Results
ρ in g cm⁻³: 11.03
Total magnetic moment in μB per atom: 0.00
Final energy in eV/atom: -9.293



Entry 19:
Entry from OQMD via LeMat-Bulk: a geometry-optimized NdCo3 structure (PBE-GGA).

Cell and atoms, written as POSCAR:
```
NdCo3
1.0
-2.7250 2.0592 1.8979
-0.8293 -3.1227 2.1974
2.6748 1.1296 2.6148
Co Nd
3 1
Direct
0.5000 0.5000 0.0000 Co
0.5000 0.0000 0.5000 Co
0.0000 0.5000 0.5000 Co
0.0000 0.0000 0.0000 Nd
```

Results
ρ in g cm⁻³: 8.94
Energy of formation in meV/atom: 361.2
Total magnetic moment in μB per atom: 0.84
Final energy in eV/atom: -6.159



Entry 20:
Entry from OQMD via LeMat-Bulk: a geometry-optimized DyUFe structure (PBE-GGA).

Cell and atoms, written as POSCAR:
```
DyUFe
1.0
0.0000 3.1950 3.1950
3.1950 0.0000 3.1950
3.1950 3.1950 0.0000
Fe U Dy
1 1 1
Direct
0.2500 0.2500 0.2500 Fe
0.0000 0.0000 0.0000 U
0.5000 0.5000 0.5000 Dy
```

Results
ρ in g cm⁻³: 11.62
Energy of formation in meV/atom: 548.3
Total magnetic moment in μB per atom: 0.01
Final energy in eV/atom: -7.521



Entry 21:
Entry from OQMD via LeMat-Bulk: a geometry-optimized RbZnW structure (PBE-GGA).

Cell and atoms, written as POSCAR:
```
RbZnW
1.0
0.0000 3.9969 3.9969
3.9969 0.0000 3.9969
3.9969 3.9969 0.0000
W Zn Rb
1 1 1
Direct
0.2500 0.2500 0.2500 W
0.7500 0.7500 0.7500 Zn
0.0000 0.0000 0.0000 Rb
```

Results
ρ in g cm⁻³: 4.35
Total magnetic moment in μB per atom: 1.69
Final energy in eV/atom: -2.603



Entry 22:
Entry from OQMD via LeMat-Bulk: a geometry-optimized SrZnSi2Au structure (PBE-GGA).

Cell and atoms, written as POSCAR:
```
SrZnSi2Au
1.0
-2.1708 2.1708 5.2100
2.1708 -2.1708 5.2100
2.1708 2.1708 -5.2100
Zn Si Au Sr
1 2 1 1
Direct
0.5000 0.5000 0.0000 Zn
0.8646 0.3646 0.5000 Si
0.6354 0.1354 0.5000 Si
0.0000 0.0000 0.0000 Au
0.2500 0.7500 0.5000 Sr
```

Results
ρ in g cm⁻³: 6.87
Final energy in eV/atom: -3.843



Entry 23:
Entry from OQMD via LeMat-Bulk: a geometry-optimized ZnFePtAu structure (PBE-GGA).

Cell and atoms, written as POSCAR:
```
ZnFePtAu
1.0
0.0000 3.1212 3.1212
3.1212 0.0000 3.1212
3.1212 3.1212 0.0000
Zn Fe Au Pt
1 1 1 1
Direct
0.0000 0.0000 0.0000 Zn
0.7500 0.7500 0.7500 Fe
0.2500 0.2500 0.2500 Au
0.5000 0.5000 0.5000 Pt
```

Results
ρ in g cm⁻³: 14.02
Energy of formation in meV/atom: -45.3
Total magnetic moment in μB per atom: 0.74
Final energy in eV/atom: -4.769